## Ho2MgZn (PBE-GGA)

Data for an optimized crystal structure of Ho2MgZn.

Lattice parameters (Å, degrees): 11.587 11.587 11.587 16.65 16.65 16.65
Atoms (fractional coordinates):
Ho  0.089  0.089  0.089
Ho  0.911  0.911  0.911
Mg  0.500  0.500  0.500
Zn  0.000  0.000  0.000

Summary:
E above lowest polymorph, kJ/mol of atoms: 45.8
Magnetic moment, μB per formula unit: 0.0
VASP energy, eV/cell: -11.0
Energy of formation, eV/atom: 0.267


## CrFeOs2 (PBE-GGA)

Data for an optimized crystal structure of CrFeOs2.

Lattice parameters (Å, degrees): 8.718 8.718 8.718 17.60 17.60 17.60
Atoms (fractional coordinates):
Cr  0.000  0.000  0.000
Fe  0.500  0.500  0.500
Os  0.251  0.251  0.251
Os  0.749  0.749  0.749

Summary:
Magnetic moment, μB per formula unit: 2.0
VASP energy, eV/cell: -40.0
Energy of formation, eV/atom: 0.138


## Tb3NdY2Er6 (PBE-GGA)

Data for an optimized crystal structure of Tb3NdY2Er6.

Lattice parameters (Å, degrees): 6.138 6.138 11.739 94.98 94.98 119.95
Atoms (fractional coordinates):
Tb  0.000  0.000  0.000
Tb  0.333  0.667  0.000
Tb  0.667  0.333  0.000
Nd  0.500  0.500  0.500
Y  0.167  0.833  0.500
Y  0.833  0.167  0.500
Er  0.082  0.416  0.248
Er  0.251  0.251  0.751
Er  0.416  0.082  0.248
Er  0.584  0.918  0.752
Er  0.749  0.749  0.249
Er  0.918  0.584  0.752

Summary:
Magnetic moment, μB per formula unit: 0.0
VASP energy, eV/cell: -58.7
Energy of formation, eV/atom: 0.020